# La2Pr5Y2 PBE optimized geometry
data_La2Pr5Y2
_chemical_formula_sum 'La8 Pr20 Y8'
_space_group_name_H-M_alt 'C 1 2 1'
_space_group_IT_number 5
_space_group_name_Hall 'C 2y'
_cell_length_a 16.905
_cell_length_b 6.904
_cell_length_c 12.374
_cell_angle_alpha 90.00
_cell_angle_beta 116.47
_cell_angle_gamma 90.00
loop_
_atom_site_label
_atom_site_type_symbol
_atom_site_fract_x
_atom_site_fract_y
_atom_site_fract_z
La1 La 0.000 0.000 0.000
La2 La 0.000 0.454 0.500
La3 La 0.241 0.399 0.737
Pr1 Pr 0.049 0.724 0.820
Pr2 Pr 0.063 0.285 0.802
Pr3 Pr 0.107 0.074 0.365
Pr4 Pr 0.179 0.581 0.428
Pr5 Pr 0.228 0.061 0.985
Y1 Y 0.116 0.444 0.118
Y2 Y 0.139 0.911 0.648
# E above lowest polymorph = 117 meV per atom